DFT (GGA-PBE) results for LiInFe2Mo after structural relaxation.

DOS at the Fermi energy: 0.521 states/eV/atom
Calculated formation energy: 0.96 eV per atom

Unit cell a=4.117 b=4.117 c=4.356 alpha=90.00 beta=90.00 gamma=90.00
Space group P4/mmm (No. 123)
Symmetry-distinct sites (fractional):
1 Li 0.000 0.000 0.000 [1 per cell]
2 In 0.000 0.000 0.500 [1 per cell]
3 Fe 0.000 0.500 0.000 [2 per cell]
4 Mo 0.500 0.500 0.500 [1 per cell]